# PBE Ac2TlPO8, relaxed
data_Ac2TlPO8
_space_group_name_H-M_alt 'P -3 m 1'
_space_group_IT_number 164
_space_group_name_Hall '-P 3 2"'
_cell_length_a 5.2500
_cell_length_b 5.2500
_cell_length_c 7.9123
_cell_angle_alpha 90.00
_cell_angle_beta 90.00
_cell_angle_gamma 120.00
loop_
_atom_site_label
_atom_site_type_symbol
_atom_site_fract_x
_atom_site_fract_y
_atom_site_fract_z
Ac1 Ac 0.3333 0.6667 0.3302
Tl1 Tl 0.0000 0.0000 0.0000
P1 P 0.0000 0.0000 0.5000
O1 O 0.1519 0.3039 0.6244
O2 O 0.3333 0.6667 0.0146
# Uncorrected formation energy (eV/atom): -1.80
# Crystal system: trigonal
# Final energy (eV/cell): -77.29
# N(E_F) (states/eV/f.u.): 4.76

# PBE Ac2TmPO8, relaxed
data_Ac2TmPO8
_space_group_name_H-M_alt 'P -3 m 1'
_space_group_IT_number 164
_space_group_name_Hall '-P 3 2"'
_cell_length_a 5.5734
_cell_length_b 5.5734
_cell_length_c 6.0255
_cell_angle_alpha 90.00
_cell_angle_beta 90.00
_cell_angle_gamma 120.00
loop_
_atom_site_label
_atom_site_type_symbol
_atom_site_fract_x
_atom_site_fract_y
_atom_site_fract_z
Ac1 Ac 0.3333 0.6667 0.3590
Tm1 Tm 0.0000 0.0000 0.0000
P1 P 0.0000 0.0000 0.5000
O1 O 0.1436 0.2872 0.6725
O2 O 0.3333 0.6667 0.0022
# Uncorrected formation energy (eV/atom): -2.38
# Crystal system: trigonal
# Final energy (eV/cell): -86.31
# N(E_F) (states/eV/f.u.): 0.71

# PBE AcTmPO6, relaxed
data_AcTmPO6
_space_group_name_H-M_alt 'P 3 1 2'
_space_group_IT_number 149
_cell_length_a 5.3247
_cell_length_b 5.3247
_cell_length_c 5.1435
_cell_angle_alpha 90.00
_cell_angle_beta 90.00
_cell_angle_gamma 120.00
loop_
_space_group_symop_operation_xyz
'x,y,z'
'-y,x-y,z'
'-x+y,-x,z'
'-y,-x,-z'
'-x+y,y,-z'
'x,x-y,-z'
loop_
_atom_site_label
_atom_site_type_symbol
_atom_site_fract_x
_atom_site_fract_y
_atom_site_fract_z
Ac1 Ac 0.0000 0.0000 0.0000
Tm1 Tm 0.3333 0.6667 0.5000
P1 P 0.6667 0.3333 0.5000
O1 O 0.4041 0.0660 0.6950
# Uncorrected formation energy (eV/atom): -2.62
# Crystal system: trigonal
# Final energy (eV/cell): -67.35
# N(E_F) (states/eV/f.u.): 5.95

# PBE AcUPO2, relaxed
data_AcUPO2
_space_group_name_H-M_alt 'C m c m'
_space_group_IT_number 63
_space_group_name_Hall '-C 2c 2'
_cell_length_a 4.0480
_cell_length_b 12.3514
_cell_length_c 7.6756
_cell_angle_alpha 90.00
_cell_angle_beta 90.00
_cell_angle_gamma 90.00
loop_
_atom_site_label
_atom_site_type_symbol
_atom_site_fract_x
_atom_site_fract_y
_atom_site_fract_z
Ac1 Ac 0.0000 0.2318 0.2500
U1 U 0.0000 0.5000 0.0000
P1 P 0.0000 0.0381 0.7500
O1 O 0.0000 0.3349 0.5557
# Uncorrected formation energy (eV/atom): -2.60
# Crystal system: orthorhombic
# Final energy (eV/cell): -174.91
# N(E_F) (states/eV/f.u.): 4.63

# PBE AcUP2O8, relaxed
data_AcUP2O8
_space_group_name_H-M_alt 'P -3 m 1'
_space_group_IT_number 164
_space_group_name_Hall '-P 3 2"'
_cell_length_a 5.3730
_cell_length_b 5.3730
_cell_length_c 7.6607
_cell_angle_alpha 90.00
_cell_angle_beta 90.00
_cell_angle_gamma 120.00
loop_
_atom_site_label
_atom_site_type_symbol
_atom_site_fract_x
_atom_site_fract_y
_atom_site_fract_z
Ac1 Ac 0.0000 0.0000 0.0000
U1 U 0.0000 0.0000 0.5000
P1 P 0.3333 0.6667 0.2088
O1 O 0.1761 0.3522 0.2780
O2 O 0.3333 0.6667 0.0085
# Uncorrected formation energy (eV/atom): -2.71
# Crystal system: trigonal
# Final energy (eV/cell): -98.38
# N(E_F) (states/eV/f.u.): 7.46

# PBE Ac2ZnPO8, relaxed
data_Ac2ZnPO8
_space_group_name_H-M_alt 'P -3 m 1'
_space_group_IT_number 164
_space_group_name_Hall '-P 3 2"'
_cell_length_a 5.6358
_cell_length_b 5.6358
_cell_length_c 5.7446
_cell_angle_alpha 90.00
_cell_angle_beta 90.00
_cell_angle_gamma 120.00
loop_
_atom_site_label
_atom_site_type_symbol
_atom_site_fract_x
_atom_site_fract_y
_atom_site_fract_z
Ac1 Ac 0.3333 0.6667 0.3430
Zn1 Zn 0.0000 0.0000 0.0000
P1 P 0.0000 0.0000 0.5000
O1 O 0.1427 0.2853 0.6771
O2 O 0.3333 0.6667 0.9626
# Uncorrected formation energy (eV/atom): -1.74
# Crystal system: trigonal
# Final energy (eV/cell): -75.43
# N(E_F) (states/eV/f.u.): 5.47

# PBE AcZnP2O8, relaxed
data_AcZnP2O8
_space_group_name_H-M_alt 'P -3 m 1'
_space_group_IT_number 164
_space_group_name_Hall '-P 3 2"'
_cell_length_a 5.2135
_cell_length_b 5.2135
_cell_length_c 7.1800
_cell_angle_alpha 90.00
_cell_angle_beta 90.00
_cell_angle_gamma 120.00
loop_
_atom_site_label
_atom_site_type_symbol
_atom_site_fract_x
_atom_site_fract_y
_atom_site_fract_z
Ac1 Ac 0.0000 0.0000 0.0000
Zn1 Zn 0.0000 0.0000 0.5000
P1 P 0.3333 0.6667 0.7606
O1 O 0.1704 0.3408 0.6965
O2 O 0.3333 0.6667 0.9778
# Uncorrected formation energy (eV/atom): -2.32
# Crystal system: trigonal
# Final energy (eV/cell): -83.69
# N(E_F) (states/eV/f.u.): 8.09

# PBE AcZnPO6, relaxed
data_AcZnPO6
_space_group_name_H-M_alt 'P 3 1 2'
_space_group_IT_number 149
_cell_length_a 5.0678
_cell_length_b 5.0678
_cell_length_c 5.2269
_cell_angle_alpha 90.00
_cell_angle_beta 90.00
_cell_angle_gamma 120.00
loop_
_space_group_symop_operation_xyz
'x,y,z'
'-y,x-y,z'
'-x+y,-x,z'
'-y,-x,-z'
'-x+y,y,-z'
'x,x-y,-z'
loop_
_atom_site_label
_atom_site_type_symbol
_atom_site_fract_x
_atom_site_fract_y
_atom_site_fract_z
Ac1 Ac 0.0000 0.0000 0.0000
Zn1 Zn 0.3333 0.6667 0.5000
P1 P 0.6667 0.3333 0.5000
O1 O 0.4071 0.0494 0.6924
# Uncorrected formation energy (eV/atom): -1.95
# Crystal system: trigonal
# Final energy (eV/cell): -58.11
# N(E_F) (states/eV/f.u.): 1.56

Among the records above, which one has the highest N(E_F)? AcZnP2O8

Look up the uncorrected formation energy of the first one. -1.80 eV/atom

Which value of final energy does entry 6 give? -75.43 eV/cell